Entry 1:
A plane-wave DFT calculation with PBE-GGA was carried out for a relaxed structure of LiClF2.

abc: 5.983 5.983 5.983
angles: 90.00 90.00 90.00
Space group Fm-3m (No. 225)
Unique sites:
Li (0.000, 0.000, 0.000) [4 per cell]
Cl (0.000, 0.000, 0.500) [4 per cell]
F (0.250, 0.250, 0.250) [8 per cell]

E above lowest polymorph = 693 meV per atom
size of the total moment = 8.000 μB per cell

Entry 2:
A plane-wave DFT calculation with PBE-GGA was carried out for a relaxed structure of Li2ClF2.

abc: 3.927 3.927 9.662
angles: 90.00 90.00 90.00
Space group I4/mmm (No. 139)
Unique sites:
Li (0.000, 0.500, 0.250) [4 per cell]
Cl (0.000, 0.000, 0.000) [2 per cell]
F (0.000, 0.000, 0.261) [4 per cell]

E above lowest polymorph = 0 meV per atom
size of the total moment = 2.000 μB per cell

Entry 3:
A plane-wave DFT calculation with PBE-GGA was carried out for a relaxed structure of LiClF2.

abc: 5.455 5.455 8.026
angles: 90.00 90.00 90.00
Space group I-42d (No. 122)
Unique sites:
Li (0.000, 0.000, 0.000) [4 per cell]
Cl (0.000, 0.000, 0.500) [4 per cell]
F (0.158, 0.250, 0.125) [8 per cell]

E above lowest polymorph = 407 meV per atom
size of the total moment = 8.000 μB per cell

Entry 4:
A plane-wave DFT calculation with PBE-GGA was carried out for a relaxed structure of LiClF2.

abc: 3.3818 3.3818 17.0600
angles: 90.00 90.00 120.00
Space group R-3m (No. 166, hexagonal axes)
Unique sites:
Li (0.0000, 0.0000, 0.0000) [3 per cell]
Cl (0.0000, 0.0000, 0.5000) [3 per cell]
F (0.0000, 0.0000, 0.3882) [6 per cell]

E above lowest polymorph = 0 meV per atom
size of the total moment = 0.000 μB per cell

Entry 5:
A plane-wave DFT calculation with PBE-GGA was carried out for a relaxed structure of Li2ClF2.

abc: 7.184 7.184 2.607
angles: 90.00 90.00 90.00
Space group P4/mbm (No. 127)
Unique sites:
Li (0.106, 0.394, 0.000) [4 per cell]
Cl (0.000, 0.000, 0.500) [2 per cell]
F (0.114, 0.614, 0.500) [4 per cell]

E above lowest polymorph = 243 meV per atom
size of the total moment = 0.000 μB per cell

Entry 6:
A plane-wave DFT calculation with PBE-GGA was carried out for a relaxed structure of LiClF4.

abc: 4.279 4.279 10.798
angles: 90.00 90.00 90.00
Space group I-4 (No. 82)
Unique sites:
Li (0.000, 0.000, 0.000) [2 per cell]
Cl (0.000, 0.500, 0.750) [2 per cell]
F (0.204, 0.715, 0.888) [8 per cell]

E above lowest polymorph = 336 meV per atom
size of the total moment = 4.000 μB per cell

Entry 7:
A plane-wave DFT calculation with PBE-GGA was carried out for a relaxed structure of LiCl2F.

abc: 3.549 6.518 4.943
angles: 90.00 110.73 90.00
Space group Pm (No. 6)
Unique sites:
Li (0.000, 0.000, 0.000) [1 per cell]
Cl (0.195, 0.500, 0.392) [1 per cell]
Cl (0.979, 0.500, 0.958) [1 per cell]
F (0.504, 0.000, 0.007) [1 per cell]

E above lowest polymorph = 0 meV per atom
size of the total moment = 0.000 μB per cell

Entry 8:
A plane-wave DFT calculation with PBE-GGA was carried out for a relaxed structure of LiCl2F8.

abc: 13.595 6.138 10.739
angles: 90.00 128.30 90.00
Space group C2/c (No. 15)
Unique sites:
Li (0.000, 0.095, 0.250) [4 per cell]
Cl (0.123, 0.194, 0.079) [8 per cell]
F (0.103, 0.285, 0.223) [8 per cell]
F (0.121, 0.085, 0.634) [8 per cell]
F (0.125, 0.460, 0.029) [8 per cell]
F (0.131, 0.093, 0.926) [8 per cell]

E above lowest polymorph = 0 meV per atom
size of the total moment = 3.942 μB per cell

Entry 9:
A plane-wave DFT calculation with PBE-GGA was carried out for a relaxed structure of Li2ClF6.

abc: 5.974 8.962 5.507
angles: 90.00 117.07 90.00
Space group C2/m (No. 12)
Unique sites:
Li (0.000, 0.249, 0.000) [4 per cell]
Cl (0.000, 0.500, 0.500) [2 per cell]
F (0.173, 0.344, 0.820) [8 per cell]
F (0.241, 0.000, 0.561) [4 per cell]

size of the total moment = 2.047 μB per cell

Entry 10:
A plane-wave DFT calculation with PBE-GGA was carried out for a relaxed structure of LiClF6.

abc: 4.958 8.769 4.889
angles: 90.00 105.12 90.00
Space group C2/m (No. 12)
Unique sites:
Li (0.000, 0.000, 0.000) [2 per cell]
Cl (0.000, 0.500, 0.500) [2 per cell]
F (0.214, 0.357, 0.729) [8 per cell]
F (0.238, 0.500, 0.279) [4 per cell]

size of the total moment = 0.000 μB per cell

Entry 11:
A plane-wave DFT calculation with PBE-GGA was carried out for a relaxed structure of LiCl2F.

abc: 3.9092 3.9092 19.4087
angles: 90.00 90.00 120.00
Space group R-3m (No. 166, hexagonal axes)
Unique sites:
Li (0.0000, 0.0000, 0.0000) [3 per cell]
Cl (0.0000, 0.0000, 0.3960) [6 per cell]
F (0.0000, 0.0000, 0.5000) [3 per cell]

E above lowest polymorph = 343 meV per atom
size of the total moment = 0.000 μB per cell

Entry 12:
A plane-wave DFT calculation with PBE-GGA was carried out for a relaxed structure of LiClF2.

abc: 3.3185 3.3185 21.3542
angles: 90.00 90.00 120.00
Space group R-3m (No. 166, hexagonal axes)
Unique sites:
Li (0.0000, 0.0000, 0.0000) [3 per cell]
Cl (0.0000, 0.0000, 0.5000) [3 per cell]
F (0.0000, 0.0000, 0.0803) [6 per cell]

E above lowest polymorph = 733 meV per atom
size of the total moment = 6.000 μB per cell

The calculation returns the following VASP energy values, one per record and in order: -2.79 -3.94 -3.08 -3.49 -3.70 -2.88 -3.11 -2.89 -3.37 -3.00 -2.76 -2.75 eV per atom.